Entry from Alexandria via LeMat-Bulk: Ga3HIr after structural relaxation (GGA-PBE).

Calculated values
- VASP energy: -4.15 eV per atom
- Space-group type: Pm-3m

a = 4.7960 Å, b = 4.7960 Å, c = 4.7960 Å
α = 90.00°, β = 90.00°, γ = 90.00°
Fractional coordinates of all 5 atoms:
Ga 0.0000 0.0000 0.5000
Ga 0.0000 0.5000 0.0000
Ga 0.5000 0.0000 0.0000
H 0.5000 0.5000 0.5000
Ir 0.0000 0.0000 0.0000

Entry from Alexandria via LeMat-Bulk: FeCuRh2 after structural relaxation (GGA-PBE).

Calculated values
- DFT formation energy: 0.094 eV per atom
- VASP energy: -6.72 eV per atom
- Space-group type: R3m

a = 2.6847 Å, b = 2.6847 Å, c = 25.6395 Å
α = 90.00°, β = 90.00°, γ = 120.00°
Fractional coordinates of all 12 atoms:
Fe 0.0000 0.0000 0.0000
Fe 0.3333 0.6667 0.6667
Fe 0.6667 0.3333 0.3333
Cu 0.0000 0.0000 0.2532
Cu 0.3333 0.6667 0.9199
Cu 0.6667 0.3333 0.5865
Rh 0.0000 0.0000 0.5022
Rh 0.0000 0.0000 0.7473
Rh 0.3333 0.6667 0.1688
Rh 0.3333 0.6667 0.4140
Rh 0.6667 0.3333 0.0806
Rh 0.6667 0.3333 0.8355